Entry from Alexandria: HoErCSe after structural relaxation (PBE).

Geometry as extended XYZ:
```
4
Lattice="1.853 1.070 6.678 -1.853 1.070 6.678 0.000 -2.139 6.678" Properties=species:S:1:pos:R:3 pbc="T T T"
Ho 0.000 0.000 0.000
Er 0.000 0.000 16.011
C 0.000 0.000 8.030
Se 0.000 0.000 4.638
```

Volume: 79.39 Å³/cell
Theoretical density: 8.85 g/cm³
E_tot: -6.5836 eV per atom
Total magnetization: 0.00 Bohr magnetons per cell
Crystal system: trigonal
Space-group type: R3m (160)
Formation energy (no corrections): -4.49 eV per formula unit